# Zr6Fe16Si7, PBEsol geometry, DFT SCAN
# **M_tot**: 0.2138 μB per atom
# **Volume**: 1445 Å³ per cell
# **Final energy**: -19.196 eV per atom
data_Zr6Fe16Si7
_chemical_formula_sum 'Zr24 Fe64 Si28'
_cell_length_a 11.306
_cell_length_b 11.306
_cell_length_c 11.306
_cell_angle_alpha 90.00
_cell_angle_beta 90.00
_cell_angle_gamma 90.00
_symmetry_space_group_name_H-M 'F m -3 m'
_symmetry_Int_Tables_number 225
_symmetry_space_group_name_Hall '-F 4 2 3'
loop_
_atom_site_label
_atom_site_type_symbol
_atom_site_fract_x
_atom_site_fract_y
_atom_site_fract_z
_atom_site_occupancy
Zr1 Zr 0.000 0.000 0.208 1
Fe1 Fe 0.122 0.122 0.378 1
Fe2 Fe 0.176 0.176 0.176 1
Si1 Si 0.000 0.000 0.500 1
Si2 Si 0.000 0.250 0.250 1

---

# ZrFeSi2, PBEsol geometry, DFT SCAN
# **M_tot**: 0.0000 μB per atom
# **Volume**: 171 Å³ per cell
# **Final energy**: -17.802 eV per atom
data_ZrFeSi2
_chemical_formula_sum 'Zr3 Fe3 Si6'
_cell_length_a 3.8138
_cell_length_b 3.8138
_cell_length_c 13.5568
_cell_angle_alpha 90.00
_cell_angle_beta 90.00
_cell_angle_gamma 120.00
_symmetry_space_group_name_H-M 'R -3 m'
_symmetry_Int_Tables_number 166
_symmetry_space_group_name_Hall '-R 3 2"'
loop_
_atom_site_label
_atom_site_type_symbol
_atom_site_fract_x
_atom_site_fract_y
_atom_site_fract_z
_atom_site_occupancy
Zr1 Zr 0.0000 0.0000 0.0000 1
Fe1 Fe 0.0000 0.0000 0.5000 1
Si1 Si 0.0000 0.0000 0.2126 1

---

# ZrFeSi2, PBEsol geometry, DFT SCAN
# **M_tot**: 0.5567 μB per atom
# **Volume**: 228 Å³ per cell
# **Final energy**: -17.245 eV per atom
data_ZrFeSi2
_chemical_formula_sum 'Zr4 Fe4 Si8'
_cell_length_a 6.112
_cell_length_b 6.112
_cell_length_c 6.112
_cell_angle_alpha 90.00
_cell_angle_beta 90.00
_cell_angle_gamma 90.00
_symmetry_space_group_name_H-M 'F m -3 m'
_symmetry_Int_Tables_number 225
_symmetry_space_group_name_Hall '-F 4 2 3'
loop_
_atom_site_label
_atom_site_type_symbol
_atom_site_fract_x
_atom_site_fract_y
_atom_site_fract_z
_atom_site_occupancy
Zr1 Zr 0.000 0.000 0.000 1
Fe1 Fe 0.000 0.000 0.500 1
Si1 Si 0.250 0.250 0.250 1

---

# ZrFeSi2, PBEsol geometry, DFT SCAN
# **M_tot**: 0.5585 μB per atom
# **Volume**: 271 Å³ per cell
# **Final energy**: -17.163 eV per atom
data_ZrFeSi2
_chemical_formula_sum 'Zr4 Fe4 Si8'
_cell_length_a 4.200
_cell_length_b 4.200
_cell_length_c 15.348
_cell_angle_alpha 90.00
_cell_angle_beta 90.00
_cell_angle_gamma 90.00
_symmetry_space_group_name_H-M 'I -4 2 d'
_symmetry_Int_Tables_number 122
_symmetry_space_group_name_Hall 'I -4 2bw'
loop_
_atom_site_label
_atom_site_type_symbol
_atom_site_fract_x
_atom_site_fract_y
_atom_site_fract_z
_atom_site_occupancy
Zr1 Zr 0.000 0.000 0.000 1
Fe1 Fe 0.000 0.000 0.500 1
Si1 Si 0.117 0.250 0.625 1

---

# SmFe3, PBEsol geometry, DFT SCAN
# **M_tot**: 1.6425 μB per atom
# **E_form**: 16 kJ/mol of formula units
# **Volume**: 526 Å³ per cell
# **Final energy**: -24.668 eV per atom
data_SmFe3
_chemical_formula_sum 'Sm9 Fe27'
_cell_length_a 5.0231
_cell_length_b 5.0231
_cell_length_c 24.0675
_cell_angle_alpha 90.00
_cell_angle_beta 90.00
_cell_angle_gamma 120.00
_symmetry_space_group_name_H-M 'R -3 m'
_symmetry_Int_Tables_number 166
_symmetry_space_group_name_Hall '-R 3 2"'
loop_
_atom_site_label
_atom_site_type_symbol
_atom_site_fract_x
_atom_site_fract_y
_atom_site_fract_z
_atom_site_occupancy
Sm1 Sm 0.0000 0.0000 0.0000 1
Sm2 Sm 0.0000 0.0000 0.1420 1
Fe1 Fe 0.0000 0.0000 0.3326 1
Fe2 Fe 0.0000 0.0000 0.5000 1
Fe3 Fe 0.0017 0.5008 0.0806 1

---

# TiFeSn2, PBEsol geometry, DFT SCAN
# **M_tot**: 0.7622 μB per atom
# **E_form**: 69 kJ/mol of formula units
# **Volume**: 272 Å³ per cell
# **Final energy**: -26.322 eV per atom
data_TiFeSn2
_chemical_formula_sum 'Ti4 Fe4 Sn8'
_cell_length_a 6.481
_cell_length_b 6.481
_cell_length_c 6.481
_cell_angle_alpha 90.00
_cell_angle_beta 90.00
_cell_angle_gamma 90.00
_symmetry_space_group_name_H-M 'F m -3 m'
_symmetry_Int_Tables_number 225
_symmetry_space_group_name_Hall '-F 4 2 3'
loop_
_atom_site_label
_atom_site_type_symbol
_atom_site_fract_x
_atom_site_fract_y
_atom_site_fract_z
_atom_site_occupancy
Ti1 Ti 0.000 0.000 0.000 1
Fe1 Fe 0.000 0.000 0.500 1
Sn1 Sn 0.250 0.250 0.250 1